A plane-wave DFT calculation with SCAN was carried out for a PBEsol-optimized structure of CsNiF3.

The density of states at the Fermi level is 0.00 states/eV per atom. As for the crystal system: trigonal. For the formation energy from raw total energies, the calculation gives -2.6112 eV per atom.

It has space group R-3m (No. 166, hexagonal axes), with a = 6.0693 Å, b = 6.0693 Å, c = 22.1047 Å, α = 90.00°, β = 90.00° and γ = 120.00°. Symmetry generates all atoms from Cs at (0.0000, 0.0000, 0.0000), Cs at (0.0000, 0.0000, 0.2159), Ni at (0.0000, 0.0000, 0.3801), Ni at (0.0000, 0.0000, 0.5000), F at (0.0000, 0.5000, 0.0000) and F at (0.0459, 0.5229, 0.2260).